(1)
Here is In3Pb5 at its PBEsol-relaxed geometry from Alexandria via LeMat-Bulk. Energies are from SCAN.

Crystal system = orthorhombic
E_form = 0.0442 eV per atom

Lattice parameters (Å, degrees): 4.5273 7.0509 7.0509 91.59 90.00 90.00
Atoms (fractional coordinates):
1 Pb 0.0000 0.5000 0.0000
2 Pb 0.5000 0.2584 0.2584
3 Pb 0.0000 0.0000 0.0000
4 Pb 0.0000 0.0000 0.5000
5 In 0.0000 0.5000 0.5000
6 In 0.5000 0.2515 0.7485
7 In 0.5000 0.7485 0.2515
8 Pb 0.5000 0.7416 0.7416

---

(2)
Here is ReIr3 at its PBEsol-relaxed geometry from Alexandria via LeMat-Bulk. Energies are from SCAN.

Excess energy over the best structure of this formula in the dataset = 0.167 eV per formula unit
Crystal system = monoclinic
E_form = -0.1146 eV per atom

Lattice parameters (Å, degrees): 2.7054 4.7007 4.7093 99.48 106.69 90.00
Atoms (fractional coordinates):
1 Ir 0.7519 0.7522 0.5038
2 Ir 0.0000 0.5000 0.0000
3 Ir 0.2481 0.2478 0.4962
4 Re 0.5000 0.0000 0.0000

---

(3)
Here is K2CaZn at its PBEsol-relaxed geometry from Alexandria via LeMat-Bulk. Energies are from SCAN.

Crystal system = monoclinic
E_form = 0.0440 eV per atom

Lattice parameters (Å, degrees): 4.1664 4.2955 10.3520 102.14 90.00 90.00
Atoms (fractional coordinates):
1 Zn 0.0000 0.8567 0.5897
2 K 0.5000 0.7189 0.3132
3 Ca 0.5000 0.3881 0.6523
4 K 0.0000 0.0364 0.9448

---

(4)
Here is DyCrSb3 at its PBEsol-relaxed geometry from Alexandria via LeMat-Bulk. Energies are from SCAN.

Crystal system = orthorhombic

Lattice parameters (Å, degrees): 5.8999 6.1428 12.5025 90.00 90.00 90.00
Site moments in Bohr magnetons follow the coordinates.
Atoms (fractional coordinates):
1 Sb 0.5000 0.7500 0.4978  -0.01
2 Sb 0.2500 0.9959 0.7735  -0.10
3 Cr 0.5000 0.7500 0.0984  2.83
4 Sb 0.7500 0.5041 0.7735  -0.10
5 Sb 0.0000 0.2500 0.5022  -0.01
6 Cr 0.0000 0.2500 0.9016  2.83
7 Dy 0.7500 0.4956 0.3091  -0.04
8 Sb 0.2500 0.1014 0.0632  -0.13
9 Dy 0.7500 0.9956 0.6909  -0.04
10 Cr 0.5000 0.2500 0.9016  2.83
11 Cr 0.0000 0.7500 0.0984  2.83
12 Sb 0.5000 0.2500 0.5022  -0.01
13 Sb 0.2500 0.6014 0.9368  -0.13
14 Dy 0.2500 0.0044 0.3091  -0.04
15 Sb 0.0000 0.7500 0.4978  -0.01
16 Sb 0.2500 0.4959 0.2265  -0.10
17 Sb 0.7500 0.3986 0.0632  -0.13
18 Dy 0.2500 0.5044 0.6909  -0.04
19 Sb 0.7500 0.8986 0.9368  -0.13
20 Sb 0.7500 0.0041 0.2265  -0.10

---

Summary of total DFT energy (no corrections) in eV/atom
-59.839, -71.213, -9.915, -36.111
(order as listed above)